This record from the Alexandria database describes an optimized crystal structure of BaPmPbAu. The functional is PBE.

Geometry as CIF:
```
data_BaPmPbAu
_chemical_formula_sum 'Ba4 Pm4 Pb4 Au4'
_symmetry_space_group_name_H-M 'F -4 3 m'
_symmetry_Int_Tables_number 216
_symmetry_space_group_name_Hall 'F -4 2 3'
_cell_length_a 7.995
_cell_length_b 7.995
_cell_length_c 7.995
_cell_angle_alpha 90.00
_cell_angle_beta 90.00
_cell_angle_gamma 90.00
loop_
_atom_site_label
_atom_site_type_symbol
_atom_site_fract_x
_atom_site_fract_y
_atom_site_fract_z
Ba1 Ba 0.000 0.000 0.000
Pm1 Pm 0.000 0.000 0.500
Pb1 Pb 0.250 0.250 0.750
Au1 Au 0.250 0.250 0.250
```

This record from the Alexandria database describes an optimized crystal structure of Ba7Pt2PbAu2. The functional is PBE.

Geometry as CIF:
```
data_Ba7Pt2PbAu2
_chemical_formula_sum 'Ba14 Pt4 Pb2 Au4'
_symmetry_space_group_name_H-M 'I m m 2'
_symmetry_Int_Tables_number 44
_cell_length_a 6.423
_cell_length_b 24.929
_cell_length_c 6.437
_cell_angle_alpha 90.00
_cell_angle_beta 90.00
_cell_angle_gamma 90.00
loop_
_symmetry_equiv_pos_as_xyz
'x,y,z'
'-x,-y,z'
'-x,y,z'
'x,-y,z'
'x+1/2,y+1/2,z+1/2'
'-x+1/2,-y+1/2,z+1/2'
'-x+1/2,y+1/2,z+1/2'
'x+1/2,-y+1/2,z+1/2'
loop_
_atom_site_label
_atom_site_type_symbol
_atom_site_fract_x
_atom_site_fract_y
_atom_site_fract_z
Ba1 Ba 0.000 0.000 0.000
Ba2 Ba 0.000 0.109 0.486
Ba3 Ba 0.000 0.245 0.982
Ba4 Ba 0.000 0.389 0.483
Pt1 Pt 0.000 0.120 0.985
Pb1 Pb 0.000 0.500 0.961
Au1 Au 0.000 0.249 0.483
```

| no. | E_form (kcal/mol of atoms) | E (eV/atom) |
| --- | --- | --- |
| 1 | -12.19 | -3.943 |
| 2 | -13.22 | -3.557 |